Record 1
DFT (PBE) results for a relaxed structure of Tb2ErSe3.

Unit cell a=4.095 b=5.747 c=7.049 alpha=114.06 beta=106.89 gamma=90.00
Fractional positions:
Se1 0.500 0.000 0.500
Se2 0.837 0.337 0.174
Se3 0.163 0.663 0.826
Er1 0.500 0.500 0.500
Tb1 0.830 0.830 0.160
Tb2 0.170 0.170 0.840

Values from the calculation:
Crystal system: orthorhombic

***

Record 2
DFT (PBE) results for a relaxed structure of TbEr2Se4.

Unit cell a=3.955 b=6.955 c=13.727 alpha=90.00 beta=90.00 gamma=106.52
Fractional positions:
Se1 0.032 0.063 0.250
Se2 0.968 0.937 0.750
Se3 0.224 0.448 0.879
Se4 0.500 0.000 0.500
Se5 0.224 0.448 0.621
Se6 0.776 0.552 0.379
Se7 0.776 0.552 0.121
Se8 0.500 0.000 0.000
Tb1 0.373 0.746 0.250
Tb2 0.627 0.254 0.750
Er1 0.130 0.260 0.069
Er2 0.870 0.740 0.931
Er3 0.870 0.740 0.569
Er4 0.130 0.260 0.431

Values from the calculation:
Crystal system: orthorhombic

***

Record 3
DFT (PBE) results for a relaxed structure of Tb2Er4Se9.

Unit cell a=7.167 b=7.169 c=19.415 alpha=90.01 beta=90.03 gamma=60.03
Fractional positions:
Se1 0.662 0.366 0.917
Se2 0.308 0.000 0.250
Se3 0.001 0.308 0.750
Se4 0.339 0.026 0.583
Se5 0.364 0.662 0.417
Se6 0.366 0.973 0.917
Se7 0.308 0.691 0.750
Se8 0.692 0.309 0.250
Se9 0.999 0.692 0.250
Se10 0.973 0.365 0.417
Se11 0.636 0.338 0.583
Se12 0.973 0.663 0.917
Se13 0.027 0.337 0.083
Se14 0.661 0.974 0.417
Se15 0.634 0.027 0.083
Se16 0.692 0.000 0.750
Se17 0.027 0.635 0.583
Se18 0.338 0.634 0.083
Er1 0.333 0.334 0.986
Er2 0.332 0.334 0.181
Er3 0.666 0.667 0.319
Er4 0.666 0.667 0.513
Er5 0.667 0.666 0.014
Er6 0.334 0.333 0.487
Er7 0.334 0.333 0.681
Er8 0.668 0.666 0.819
Tb1 0.000 0.999 0.151
Tb2 0.001 0.999 0.652
Tb3 0.000 0.001 0.849
Tb4 0.999 0.001 0.348

Values from the calculation:
Crystal system: triclinic

***

Record 4
DFT (PBE) results for a relaxed structure of TbEr4Se6.

Unit cell a=3.966 b=6.926 c=20.598 alpha=90.00 beta=90.00 gamma=106.64
Fractional positions:
Se1 0.052 0.103 0.166
Se2 0.500 0.000 0.000
Se3 0.948 0.897 0.666
Se4 0.500 0.000 0.500
Se5 0.311 0.622 0.250
Se6 0.948 0.897 0.834
Se7 0.052 0.103 0.334
Se8 0.768 0.537 0.090
Se9 0.689 0.378 0.750
Se10 0.768 0.537 0.410
Se11 0.232 0.463 0.590
Se12 0.232 0.463 0.910
Er1 0.140 0.281 0.038
Er2 0.860 0.719 0.962
Er3 0.590 0.180 0.873
Er4 0.860 0.719 0.538
Er5 0.140 0.281 0.462
Er6 0.410 0.820 0.127
Er7 0.590 0.180 0.627
Er8 0.410 0.820 0.373
Tb1 0.348 0.696 0.750
Tb2 0.652 0.304 0.250

Values from the calculation:
Crystal system: orthorhombic

***

Record 5
DFT (PBE) results for a relaxed structure of Tb2ErSe.

Unit cell a=3.723 b=3.723 c=10.507 alpha=79.79 beta=79.79 gamma=60.00
Fractional positions:
Se1 0.500 0.500 0.500
Tb1 0.892 0.892 0.324
Tb2 0.108 0.108 0.676
Er1 0.000 0.000 0.000

Values from the calculation:
Crystal system: trigonal

***

Record 6
DFT (PBE) results for a relaxed structure of Tb2ErSe4.

Unit cell a=8.167 b=8.092 c=8.092 alpha=60.58 beta=59.69 gamma=59.69
Fractional positions:
Se1 0.750 0.252 0.752
Se2 0.753 0.748 0.248
Se3 0.250 0.748 0.248
Se4 0.257 0.246 0.240
Se5 0.743 0.754 0.760
Se6 0.247 0.252 0.752
Se7 0.743 0.260 0.254
Se8 0.257 0.740 0.746
Tb1 0.000 0.000 0.500
Tb2 0.000 0.500 0.500
Tb3 0.500 0.000 0.500
Tb4 0.000 0.000 0.000
Er1 0.500 0.500 0.000
Er2 0.000 0.500 0.000

Values from the calculation:
Crystal system: orthorhombic

***

Record 7
DFT (PBE) results for a relaxed structure of TbEr3Se6.

Unit cell a=8.357 b=8.357 c=8.357 alpha=90.87 beta=90.87 gamma=90.87
Fractional positions:
Se1 0.318 0.909 0.086
Se2 0.091 0.914 0.682
Se3 0.178 0.536 0.405
Se4 0.595 0.822 0.464
Se5 0.909 0.086 0.318
Se6 0.536 0.405 0.178
Se7 0.822 0.464 0.595
Se8 0.405 0.178 0.536
Se9 0.464 0.595 0.822
Se10 0.914 0.682 0.091
Se11 0.086 0.318 0.909
Se12 0.682 0.091 0.914
Er1 0.921 0.755 0.430
Er2 0.570 0.079 0.245
Er3 0.430 0.921 0.755
Er4 0.245 0.570 0.079
Er5 0.079 0.245 0.570
Er6 0.755 0.430 0.921
Tb1 0.500 0.500 0.500
Tb2 0.000 0.000 0.000

Values from the calculation:
Crystal system: trigonal

***

Record 8
DFT (PBE) results for a relaxed structure of TbEr2Se.

Unit cell a=3.753 b=3.753 c=9.626 alpha=78.76 beta=78.76 gamma=60.00
Last column: magnetic moment on the atom in μB.
Fractional positions:
Tb1 0.500 0.500 0.501  0.17
Se1 0.667 0.667 0.000  0.00
Er1 0.268 0.268 0.197  0.03
Er2 0.066 0.066 0.801  0.08

Values from the calculation:
Crystal system: trigonal

***

Record 9
DFT (PBE) results for a relaxed structure of Tb2Er3Se4.

Unit cell a=3.961 b=3.961 c=16.666 alpha=90.01 beta=89.99 gamma=120.00
Fractional positions:
Er1 0.000 0.000 0.000
Er2 0.667 0.333 0.418
Er3 0.333 0.667 0.582
Tb1 0.333 0.667 0.209
Tb2 0.667 0.333 0.791
Se1 0.667 0.333 0.102
Se2 0.000 0.000 0.687
Se3 0.000 0.000 0.313
Se4 0.333 0.667 0.898

Values from the calculation:
Crystal system: trigonal

***

Record 10
DFT (PBE) results for a relaxed structure of Tb5Er3Se8.

Unit cell a=8.145 b=8.145 c=8.152 alpha=60.03 beta=60.03 gamma=60.00
Fractional positions:
Er1 0.000 0.500 0.500
Er2 0.000 0.000 0.500
Er3 0.500 0.000 0.500
Se1 0.754 0.250 0.746
Se2 0.248 0.248 0.256
Se3 0.750 0.750 0.254
Se4 0.250 0.250 0.746
Se5 0.752 0.752 0.744
Se6 0.250 0.754 0.746
Se7 0.750 0.246 0.254
Se8 0.246 0.750 0.254
Tb1 0.500 0.500 0.000
Tb2 0.000 0.000 0.000
Tb3 0.500 0.000 0.000
Tb4 0.000 0.500 0.000
Tb5 0.500 0.500 0.500

Values from the calculation:
Crystal system: trigonal

***

Record 11
DFT (PBE) results for a relaxed structure of Tb3Er2Se8.

Unit cell a=6.986 b=8.201 c=8.228 alpha=119.89 beta=106.89 gamma=90.00
Fractional positions:
Se1 0.415 0.885 0.250
Se2 0.585 0.635 0.750
Se3 0.926 0.120 0.240
Se4 0.415 0.365 0.250
Se5 0.901 0.619 0.239
Se6 0.074 0.880 0.760
Se7 0.585 0.115 0.750
Se8 0.099 0.381 0.761
Tb1 0.000 0.262 0.000
Tb2 0.000 0.738 0.000
Tb3 0.500 0.000 0.000
Er1 0.662 0.743 0.486
Er2 0.338 0.257 0.514

Values from the calculation:
Crystal system: monoclinic

***

Record 12
DFT (PBE) results for a relaxed structure of TbErSe.

Unit cell a=3.583 b=3.583 c=6.622 alpha=105.70 beta=105.70 gamma=90.00
Fractional positions:
Se1 0.332 0.332 0.663
Er1 0.688 0.688 0.377
Tb1 0.980 0.980 0.960

Values from the calculation:
Crystal system: tetragonal

***

Record 13
DFT (PBE) results for a relaxed structure of Tb2ErSe.

Unit cell a=3.801 b=3.801 c=9.630 alpha=78.62 beta=78.62 gamma=60.00
Last column: magnetic moment on the atom in μB.
Fractional positions:
Se1 0.667 0.667 0.000  0.00
Er1 0.500 0.500 0.501  0.21
Tb1 0.267 0.267 0.198  0.03
Tb2 0.066 0.066 0.801  0.08

Values from the calculation:
Crystal system: trigonal

***

Record 14
DFT (PBE) results for a relaxed structure of Tb2Er2Se5.

Unit cell a=3.934 b=8.918 c=7.393 alpha=92.41 beta=90.00 gamma=102.74
Fractional positions:
Er1 0.158 0.316 0.911
Er2 0.842 0.684 0.089
Se1 0.091 0.182 0.567
Se2 0.000 0.000 0.000
Se3 0.909 0.818 0.433
Se4 0.313 0.626 0.828
Se5 0.687 0.374 0.172
Tb1 0.528 0.056 0.281
Tb2 0.472 0.944 0.719

Values from the calculation:
Crystal system: monoclinic

***

Record 15
DFT (PBE) results for a relaxed structure of TbErTeSe2.

Unit cell a=4.626 b=4.626 c=7.725 alpha=107.42 beta=107.42 gamma=90.00
Fractional positions:
Tb1 0.138 0.138 0.277
Te1 0.501 0.501 0.002
Se1 0.251 0.751 0.502
Se2 0.751 0.251 0.502
Er1 0.858 0.858 0.717

Values from the calculation:
Crystal system: tetragonal

***

Record 16
DFT (PBE) results for a relaxed structure of TbErTeSe.

Unit cell a=4.078 b=4.079 c=7.677 alpha=90.00 beta=105.40 gamma=120.01
Fractional positions:
Se1 0.303 0.549 0.868
Tb1 0.115 0.956 0.086
Te1 0.970 0.383 0.368
Er1 0.490 0.143 0.648

Values from the calculation:
Crystal system: trigonal

***

Record 17
DFT (PBE) results for a relaxed structure of Tb2ErTh3Se6.

Unit cell a=4.044 b=8.494 c=9.474 alpha=108.29 beta=102.32 gamma=90.00
Fractional positions:
Se1 0.662 0.090 0.323
Se2 0.670 0.575 0.340
Se3 0.003 0.238 0.006
Se4 0.330 0.425 0.660
Se5 0.997 0.762 0.994
Se6 0.338 0.910 0.677
Tb1 0.833 0.667 0.666
Tb2 0.167 0.333 0.334
Th1 0.500 0.500 0.000
Th2 0.833 0.167 0.665
Th3 0.167 0.833 0.335
Er1 0.500 0.000 0.000

Values from the calculation:
Crystal system: monoclinic

***

Record 18
DFT (PBE) results for a relaxed structure of TbEr3Th4Se8.

Unit cell a=8.032 b=8.497 c=8.032 alpha=118.20 beta=120.00 gamma=90.00
Fractional positions:
Th1 0.000 0.000 0.500
Th2 0.500 0.000 0.000
Th3 0.500 0.000 0.500
Th4 0.000 0.000 0.000
Se1 0.755 0.268 0.509
Se2 0.259 0.268 0.013
Se3 0.743 0.730 0.487
Se4 0.741 0.732 0.987
Se5 0.245 0.732 0.491
Se6 0.245 0.732 0.987
Se7 0.257 0.270 0.513
Se8 0.755 0.268 0.013
Er1 0.000 0.500 0.500
Er2 0.500 0.500 0.500
Er3 0.500 0.500 0.000
Tb1 0.000 0.500 0.000

Values from the calculation:
Crystal system: trigonal

***

Record 19
DFT (PBE) results for a relaxed structure of Tb2ErThSe4.

Unit cell a=4.070 b=7.096 c=7.201 alpha=70.96 beta=90.00 gamma=90.00
Fractional positions:
Se1 0.000 0.756 0.739
Se2 0.000 0.244 0.261
Se3 0.500 0.750 0.258
Se4 0.500 0.250 0.742
Tb1 0.000 0.000 0.000
Tb2 0.500 0.000 0.500
Th1 0.500 0.500 0.000
Er1 0.000 0.500 0.500

Values from the calculation:
Crystal system: monoclinic

***

Record 20
DFT (PBE) results for a relaxed structure of Tb2Er3ThSe6.

Unit cell a=4.063 b=8.227 c=9.182 alpha=103.95 beta=102.78 gamma=90.00
Fractional positions:
Er1 0.163 0.833 0.326
Er2 0.837 0.167 0.674
Er3 0.500 0.500 0.000
Se1 0.668 0.586 0.335
Se2 0.002 0.737 0.003
Se3 0.673 0.081 0.346
Se4 0.327 0.919 0.654
Se5 0.332 0.414 0.665
Se6 0.998 0.263 0.997
Tb1 0.162 0.326 0.324
Tb2 0.838 0.674 0.676
Th1 0.500 0.000 0.000

Values from the calculation:
Crystal system: monoclinic

***

Formation energy (no corrections) / eV/atom: -1.7448, -1.8267, -1.8542, -1.7948, -0.5332, -1.8726, -1.8246, -0.7959, -1.5265, -1.7386, -1.6947, -0.9534, -0.8073, -1.6637, -1.3118, -1.5407, -1.6344, -1.6302, -1.6779, -1.6865